# 1
# TlCd2S PBE relaxed
data_TlCd2S
_symmetry_space_group_name_H-M 'P 1'
_symmetry_Int_Tables_number 1
_cell_length_a 5.195
_cell_length_b 5.195
_cell_length_c 5.195
_cell_angle_alpha 60.00
_cell_angle_beta 60.00
_cell_angle_gamma 60.00
loop_
_symmetry_equiv_pos_as_xyz
'x,y,z'
loop_
_atom_site_label
_atom_site_fract_x
_atom_site_fract_y
_atom_site_fract_z
_atom_site_occupancy
S1 0.000 0.000 0.000 1
Cd1 0.250 0.250 0.250 1
Cd2 0.750 0.750 0.750 1
Tl1 0.500 0.500 0.500 1
# * symmetry: Fm-3m, No. 225
# * relative energy among the computed polymorphs: 272.5 meV/atom
# * energy relative to the elements, uncorrected: 0.1391 eV/atom
# * ρ: 7.7 g cm⁻³

---

# 2
# Tl2Cd2S PBE relaxed
data_Tl2Cd2S
_symmetry_space_group_name_H-M 'P 1'
_symmetry_Int_Tables_number 1
_cell_length_a 7.041
_cell_length_b 7.041
_cell_length_c 5.500
_cell_angle_alpha 90.00
_cell_angle_beta 90.00
_cell_angle_gamma 90.00
loop_
_symmetry_equiv_pos_as_xyz
'x,y,z'
loop_
_atom_site_label
_atom_site_fract_x
_atom_site_fract_y
_atom_site_fract_z
_atom_site_occupancy
Tl1 0.167 0.667 0.500 1
Tl2 0.833 0.333 0.500 1
Tl3 0.333 0.167 0.500 1
Tl4 0.667 0.833 0.500 1
S1 0.500 0.500 0.000 1
S2 0.000 0.000 0.000 1
Cd1 0.140 0.360 0.000 1
Cd2 0.860 0.640 0.000 1
Cd3 0.360 0.860 0.000 1
Cd4 0.640 0.140 0.000 1
# * symmetry: P4/mbm, No. 127
# * energy relative to the elements, uncorrected: -0.0374 eV/atom
# * ρ: 8.1 g cm⁻³

---

# 3
# TlCd2S PBE relaxed
data_TlCd2S
_symmetry_space_group_name_H-M 'P 1'
_symmetry_Int_Tables_number 1
_cell_length_a 7.928
_cell_length_b 7.928
_cell_length_c 6.437
_cell_angle_alpha 51.99
_cell_angle_beta 51.99
_cell_angle_gamma 90.00
loop_
_symmetry_equiv_pos_as_xyz
'x,y,z'
loop_
_atom_site_label
_atom_site_fract_x
_atom_site_fract_y
_atom_site_fract_z
_atom_site_occupancy
Tl1 0.000 0.000 0.000 1
Tl2 0.750 0.250 0.500 1
S1 0.500 0.500 0.000 1
S2 0.250 0.750 0.500 1
Cd1 0.375 0.418 0.750 1
Cd2 0.582 0.125 0.250 1
Cd3 0.875 0.832 0.750 1
Cd4 0.168 0.625 0.250 1
# * symmetry: I-42d, No. 122
# * relative energy among the computed polymorphs: 0.0 meV/atom
# * energy relative to the elements, uncorrected: -0.1334 eV/atom
# * ρ: 7.7 g cm⁻³